Entry 1:
Compound: SrSb3Au
Source: Alexandria
Functional: PBE-GGA
Structure: relaxed

The structure in POSCAR format:
```
SrSb3Au
1.0
5.966 0.000 0.000
0.000 5.966 0.000
0.000 0.000 5.966
Sr Sb Au
1 3 1
direct
0.000 0.000 0.000
0.000 0.000 0.500
0.000 0.500 0.000
0.500 0.000 0.000
0.500 0.500 0.500
```

Calculated values
- D(E_F): 3.155 states/eV/f.u.
- Polymorph energy (0 for the lowest one): 33.04 kcal/mol of atoms
- Energy relative to the elements, uncorrected: 5.2 eV/f.u.
- Magnetization: 0.000 μB per atom

---

Entry 2:
Compound: NbHg2Cl8
Source: Alexandria
Functional: PBE-GGA
Structure: relaxed

The structure in POSCAR format:
```
NbHg2Cl8
1.0
6.945 -3.692 0.000
6.945 3.692 0.000
-0.797 0.000 7.239
Nb Hg Cl
1 2 8
direct
0.000 0.000 0.000
0.223 0.223 0.734
0.777 0.777 0.266
0.093 0.093 0.287
0.118 0.663 0.116
0.337 0.882 0.884
0.355 0.355 0.563
0.645 0.645 0.437
0.663 0.118 0.116
0.882 0.337 0.884
0.907 0.907 0.713
```

Calculated values
- Polymorph energy (0 for the lowest one): 0.00 kcal/mol of atoms
- Energy relative to the elements, uncorrected: -9.1 eV/f.u.
- Magnetization: 0.091 μB per atom

---

Entry 3:
Compound: NpZnIn2
Source: Alexandria
Functional: PBE-GGA
Structure: relaxed

The structure in POSCAR format:
```
NpZnIn2
1.0
4.510 0.000 0.000
0.000 4.510 0.000
0.000 0.000 4.592
Np Zn In
1 1 2
direct
0.000 0.000 0.000
0.500 0.500 0.000
0.000 0.500 0.500
0.500 0.000 0.500
```

Calculated values
- D(E_F): 9.496 states/eV/f.u.
- Final energy: -4.824 eV per atom
- Magnetization: 1.099 μB per atom

---

Entry 4:
Compound: NaPrBi2
Source: Alexandria
Functional: PBE-GGA
Structure: relaxed

The structure in POSCAR format:
```
NaPrBi2
1.0
5.219 0.000 0.000
0.000 5.219 0.000
0.000 0.000 4.479
Na Pr Bi
1 1 2
direct
0.000 0.000 0.000
0.500 0.500 0.000
0.000 0.500 0.500
0.500 0.000 0.500
```

Calculated values
- D(E_F): 2.051 states/eV/f.u.
- Polymorph energy (0 for the lowest one): 0.83 kcal/mol of atoms
- Magnetization: 0.000 μB per atom

---

Entry 5:
Compound: BaNpIrO6
Source: Alexandria
Functional: PBE-GGA
Structure: relaxed

The structure in POSCAR format:
```
BaNpIrO6
1.0
5.260 0.000 0.000
-2.630 4.555 0.000
0.000 0.000 6.180
Ba Np Ir O
1 1 1 6
direct
0.000 0.000 0.000
0.667 0.333 0.500
0.333 0.667 0.500
0.004 0.361 0.691
0.004 0.643 0.309
0.357 0.361 0.309
0.357 0.996 0.691
0.639 0.643 0.691
0.639 0.996 0.309
```

Calculated values
- D(E_F): 3.665 states/eV/f.u.
- Energy relative to the elements, uncorrected: -19.6 eV/f.u.
- Magnetization: 0.000 μB per atom

---

Entry 6:
Compound: Nb2CrRu
Source: Alexandria
Functional: PBE-GGA
Structure: relaxed

The structure in POSCAR format:
```
Nb2CrRu
1.0
3.131 0.000 0.000
0.000 3.131 0.000
0.000 0.000 6.317
Nb Cr Ru
2 1 1
direct
0.000 0.000 0.239
0.000 0.000 0.761
0.500 0.500 0.000
0.500 0.500 0.500
```

Calculated values
- D(E_F): 2.114 states/eV/f.u.
- Final energy: -9.939 eV per atom
- Magnetization: 0.000 μB per atom

---

Entry 7:
Compound: Zr2AlSi
Source: Alexandria
Functional: PBE-GGA
Structure: relaxed

The structure in POSCAR format:
```
Zr2AlSi
1.0
3.019 -4.081 0.000
3.019 4.081 0.000
-0.025 0.000 2.998
Zr Al Si
2 1 1
direct
0.000 0.500 0.000
0.500 0.000 0.000
0.000 0.000 0.500
0.500 0.500 0.500
```

Calculated values
- D(E_F): 1.501 states/eV/f.u.
- Polymorph energy (0 for the lowest one): 5.95 kcal/mol of atoms
- Energy relative to the elements, uncorrected: -1.9 eV/f.u.
- Magnetization: 0.000 μB per atom

---

Entry 8:
Compound: Pm3Sm2Cd4
Source: Alexandria
Functional: PBE-GGA
Structure: relaxed

The structure in POSCAR format:
```
Pm3Sm2Cd4
1.0
3.400 -9.616 0.000
3.400 9.616 0.000
0.000 0.000 8.261
Pm Sm Cd
6 4 8
direct
0.000 0.000 0.000
0.003 0.497 0.250
0.497 0.003 0.750
0.500 0.500 0.500
0.503 0.997 0.250
0.997 0.503 0.750
0.091 0.909 0.401
0.409 0.591 0.901
0.591 0.409 0.099
0.909 0.091 0.599
0.158 0.842 0.016
0.173 0.327 0.250
0.327 0.173 0.750
0.342 0.658 0.516
0.658 0.342 0.484
0.673 0.827 0.250
0.827 0.673 0.750
0.842 0.158 0.984
```

Calculated values
- D(E_F): 10.141 states/eV/f.u.
- Final energy: -3.180 eV per atom
- Magnetization: 0.000 μB per atom

---

Entry 9:
Compound: ZrAlS2Cl
Source: Alexandria
Functional: PBE-GGA
Structure: relaxed

The structure in POSCAR format:
```
ZrAlS2Cl
1.0
5.017 0.000 0.000
0.000 5.017 0.000
0.000 0.000 5.096
Zr Al S Cl
1 1 2 1
direct
0.000 0.000 0.000
0.500 0.500 0.500
0.000 0.500 0.000
0.500 0.000 0.000
0.000 0.000 0.500
```

Calculated values
- D(E_F): 0.437 states/eV/f.u.
- Polymorph energy (0 for the lowest one): 0.00 kcal/mol of atoms
- Energy relative to the elements, uncorrected: -4.0 eV/f.u.
- Magnetization: 0.000 μB per atom

---

Entry 10:
Compound: ZrTe2PtI
Source: Alexandria
Functional: PBE-GGA
Structure: relaxed

The structure in POSCAR format:
```
ZrTe2PtI
1.0
5.378 0.000 0.000
0.000 5.378 0.000
0.000 0.000 5.280
Zr Te Pt I
1 2 1 1
direct
0.000 0.000 0.000
0.000 0.500 0.500
0.500 0.000 0.500
0.000 0.000 0.500
0.500 0.500 0.000
```

Calculated values
- D(E_F): 6.676 states/eV/f.u.
- Polymorph energy (0 for the lowest one): 0.00 kcal/mol of atoms
- Energy relative to the elements, uncorrected: 1.5 eV/f.u.
- Magnetization: 0.000 μB per atom

---

Entry 11:
Compound: Ta2BeNi
Source: Alexandria
Functional: PBE-GGA
Structure: relaxed

The structure in POSCAR format:
```
Ta2BeNi
1.0
-1.399 2.246 4.456
1.399 -2.246 4.456
1.399 2.246 -4.456
Ta Be Ni
2 1 1
direct
0.000 0.000 0.000
0.722 0.222 0.500
0.460 0.460 0.000
0.267 0.767 0.500
```

Calculated values
- D(E_F): 2.719 states/eV/f.u.
- Final energy: -8.357 eV per atom
- Magnetization: 0.000 μB per atom

---

Entry 12:
Compound: Pm2PdRh
Source: Alexandria
Functional: PBE-GGA
Structure: relaxed

The structure in POSCAR format:
```
Pm2PdRh
1.0
2.029 1.171 7.084
-2.029 1.171 7.084
0.000 -2.343 7.084
Pm Pd Rh
2 1 1
direct
0.000 0.000 0.000
0.180 0.180 0.180
0.754 0.754 0.754
0.591 0.591 0.591
```

Calculated values
- D(E_F): 2.515 states/eV/f.u.
- Polymorph energy (0 for the lowest one): 3.90 kcal/mol of atoms
- Magnetization: 0.000 μB per atom

---

Entry 13:
Compound: TaOsW2
Source: Alexandria
Functional: PBE-GGA
Structure: relaxed

The structure in POSCAR format:
```
TaOsW2
1.0
3.184 0.000 0.000
0.000 3.184 0.000
0.000 0.000 6.387
Ta Os W
1 1 2
direct
0.000 0.000 0.000
0.500 0.500 0.753
0.000 0.000 0.492
0.500 0.500 0.257
```

Calculated values
- D(E_F): 2.593 states/eV/f.u.
- Polymorph energy (0 for the lowest one): 0.15 kcal/mol of atoms
- Magnetization: 0.000 μB per atom

---

Entry 14:
Compound: InAgGe
Source: Alexandria
Functional: PBE-GGA
Structure: relaxed

The structure in POSCAR format:
```
InAgGe
1.0
3.170 0.000 0.000
0.075 6.021 0.000
1.556 2.813 6.701
In Ag Ge
2 2 2
direct
0.000 0.000 0.000
0.356 0.345 0.298
0.038 0.542 0.929
0.673 0.966 0.650
0.300 0.800 0.394
0.677 0.439 0.655
```

Calculated values
- D(E_F): 1.247 states/eV/f.u.
- Final energy: -3.251 eV per atom
- Magnetization: 0.000 μB per atom

---

Entry 15:
Compound: Nb6Ga2Os
Source: Alexandria
Functional: PBE-GGA
Structure: relaxed

The structure in POSCAR format:
```
Nb6Ga2Os
1.0
6.978 -3.120 0.000
6.978 3.120 0.000
-1.294 0.000 4.079
Nb Ga Os
6 2 1
direct
0.071 0.595 0.333
0.246 0.754 0.000
0.405 0.929 0.667
0.595 0.071 0.333
0.754 0.246 0.000
0.929 0.405 0.667
0.336 0.336 0.836
0.664 0.664 0.164
0.000 0.000 0.500
```

Calculated values
- D(E_F): 7.623 states/eV/f.u.
- Final energy: -8.384 eV per atom
- Magnetization: 0.000 μB per atom

---

Entry 16:
Compound: AgAs2Se
Source: Alexandria
Functional: PBE-GGA
Structure: relaxed

The structure in POSCAR format:
```
AgAs2Se
1.0
4.142 -1.364 0.000
4.142 1.364 0.000
-1.095 0.000 7.830
Ag As Se
1 2 1
direct
0.000 0.000 0.000
0.313 0.313 0.208
0.687 0.687 0.792
0.500 0.500 0.500
```

Calculated values
- D(E_F): 1.207 states/eV/f.u.
- Energy relative to the elements, uncorrected: 0.7 eV/f.u.
- Magnetization: 0.000 μB per atom

---

Entry 17:
Compound: AgRhF6
Source: Alexandria
Functional: PBE-GGA
Structure: relaxed

The structure in POSCAR format:
```
AgRhF6
1.0
5.331 0.000 0.000
0.000 5.762 0.000
-5.212 0.000 7.931
Ag Rh F
2 2 12
direct
0.000 0.000 0.000
0.000 0.500 0.500
0.500 0.000 0.500
0.500 0.500 0.000
0.131 0.159 0.431
0.131 0.341 0.931
0.289 0.707 0.433
0.289 0.793 0.933
0.417 0.039 0.276
0.417 0.461 0.776
0.583 0.539 0.224
0.583 0.961 0.724
0.711 0.207 0.067
0.711 0.293 0.567
0.869 0.659 0.069
0.869 0.841 0.569
```

Calculated values
- D(E_F): 5.937 states/eV/f.u.
- Polymorph energy (0 for the lowest one): 0.09 kcal/mol of atoms
- Energy relative to the elements, uncorrected: -11.1 eV/f.u.
- Magnetization: 0.255 μB per atom

---

Entry 18:
Compound: BeCuNi3
Source: Alexandria
Functional: PBE-GGA
Structure: relaxed

The structure in POSCAR format:
```
BeCuNi3
1.0
3.857 0.000 0.000
0.000 3.857 0.000
0.000 0.000 3.857
Be Cu Ni
1 1 3
direct
0.000 0.000 0.000
0.500 0.500 0.500
0.000 0.000 0.500
0.000 0.500 0.000
0.500 0.000 0.000
```

Calculated values
- D(E_F): 4.053 states/eV/f.u.
- Polymorph energy (0 for the lowest one): 0.00 kcal/mol of atoms
- Magnetization: 0.000 μB per atom

---

Entry 19:
Compound: LiBiPd
Source: Alexandria
Functional: PBE-GGA
Structure: relaxed

The structure in POSCAR format:
```
LiBiPd
1.0
2.214 -3.873 0.000
2.214 3.873 0.000
0.000 0.000 6.719
Li Bi Pd
2 2 2
direct
0.166 0.834 0.750
0.834 0.166 0.250
0.500 0.500 0.000
0.500 0.500 0.500
0.166 0.834 0.250
0.834 0.166 0.750
```

Calculated values
- D(E_F): 1.865 states/eV/f.u.
- Polymorph energy (0 for the lowest one): 1.46 kcal/mol of atoms
- Magnetization: 0.000 μB per atom

---

Entry 20:
Compound: SrZn2Pd
Source: Alexandria
Functional: PBE-GGA
Structure: relaxed

The structure in POSCAR format:
```
SrZn2Pd
1.0
-2.397 2.397 8.948
2.397 -2.397 8.948
2.397 2.397 -8.948
Sr Zn Pd
2 4 2
direct
0.375 0.625 0.750
0.625 0.375 0.250
0.000 0.000 0.000
0.000 0.000 0.500
0.000 0.500 0.000
0.500 0.000 0.500
0.125 0.875 0.250
0.875 0.125 0.750
```

Calculated values
- D(E_F): 2.179 states/eV/f.u.
- Final energy: -2.663 eV per atom
- Magnetization: 0.000 μB per atom

---

Entry 21:
Compound: Cd2GaCu2
Source: Alexandria
Functional: PBE-GGA
Structure: relaxed

The structure in POSCAR format:
```
Cd2GaCu2
1.0
-2.018 2.018 6.017
2.018 -2.018 6.017
2.018 2.018 -6.017
Cd Ga Cu
2 1 2
direct
0.250 0.750 0.500
0.750 0.250 0.500
0.000 0.000 0.000
0.403 0.403 0.000
0.597 0.597 0.000
```

Calculated values
- D(E_F): 1.851 states/eV/f.u.
- Final energy: -2.338 eV per atom
- Magnetization: 0.000 μB per atom

---

Entry 22:
Compound: Ca2Pm15Dy2
Source: Alexandria
Functional: PBE-GGA
Structure: relaxed

The structure in POSCAR format:
```
Ca2Pm15Dy2
1.0
5.822 3.361 5.889
-5.822 3.361 5.889
0.000 -6.723 5.889
Ca Pm Dy
2 15 2
direct
0.168 0.168 0.168
0.832 0.832 0.832
0.000 0.500 0.500
0.137 0.137 0.647
0.137 0.647 0.137
0.206 0.500 0.794
0.206 0.794 0.500
0.353 0.863 0.863
0.500 0.000 0.500
0.500 0.206 0.794
0.500 0.500 0.000
0.500 0.794 0.206
0.647 0.137 0.137
0.794 0.206 0.500
0.794 0.500 0.206
0.863 0.353 0.863
0.863 0.863 0.353
0.405 0.405 0.405
0.595 0.595 0.595
```

Calculated values
- D(E_F): 28.231 states/eV/f.u.
- Final energy: -4.211 eV per atom
- Magnetization: 0.000 μB per atom

---

Entry 23:
Compound: PBrF3
Source: Alexandria
Functional: PBE-GGA
Structure: relaxed

The structure in POSCAR format:
```
PBrF3
1.0
4.573 0.000 0.000
0.000 7.832 0.000
-0.872 0.000 5.927
P Br F
2 2 6
direct
0.000 0.000 0.000
0.030 0.500 0.618
0.344 0.500 0.968
0.590 0.000 0.273
0.167 0.344 0.506
0.167 0.656 0.506
0.230 0.000 0.822
0.716 0.500 0.459
0.823 0.160 0.885
0.823 0.840 0.885
```

Calculated values
- D(E_F): 1.371 states/eV/f.u.
- Polymorph energy (0 for the lowest one): 0.60 kcal/mol of atoms
- Energy relative to the elements, uncorrected: -8.7 eV/f.u.
- Magnetization: 0.090 μB per atom

---

Entry 24:
Compound: PmCdIn
Source: Alexandria
Functional: PBE-GGA
Structure: relaxed

The structure in POSCAR format:
```
PmCdIn
1.0
0.000 3.506 3.506
3.506 0.000 3.506
3.506 3.506 0.000
Pm Cd In
1 1 1
direct
0.000 0.000 0.000
0.750 0.750 0.750
0.500 0.500 0.500
```

Calculated values
- D(E_F): 1.337 states/eV/f.u.
- Polymorph energy (0 for the lowest one): 2.67 kcal/mol of atoms
- Magnetization: 0.000 μB per atom

---

Entry 25:
Compound: BaCrIn2
Source: Alexandria
Functional: PBE-GGA
Structure: relaxed

The structure in POSCAR format:
```
BaCrIn2
1.0
3.851 0.000 0.000
0.000 3.851 0.000
0.000 0.000 7.982
Ba Cr In
1 1 2
direct
0.000 0.000 0.000
0.500 0.500 0.318
0.000 0.000 0.466
0.500 0.500 0.690
```

Calculated values
- D(E_F): 3.147 states/eV/f.u.
- Final energy: -4.050 eV per atom
- Magnetization: 1.237 μB per atom

---

Entry 26:
Compound: Mn4RuW
Source: Alexandria
Functional: PBE-GGA
Structure: relaxed

The structure in POSCAR format:
```
Mn4RuW
1.0
0.000 3.313 3.313
3.313 0.000 3.313
3.313 3.313 0.000
Mn Ru W
4 1 1
direct
0.124 0.124 0.124
0.124 0.124 0.629
0.124 0.629 0.124
0.629 0.124 0.124
0.750 0.750 0.750
0.500 0.500 0.500
```

Calculated values
- D(E_F): 3.292 states/eV/f.u.
- Final energy: -9.854 eV per atom
- Magnetization: 0.000 μB per atom

---

no.,calculated volume (Å³/cell)
1,212
2,371
3,93
4,122
5,148
6,62
7,74
8,540
9,128
10,153
11,56
12,101
13,65
14,128
15,178
16,88
17,244
18,57
19,115
20,206
21,98
22,691
23,212
24,86
25,118
26,73